(1)
VASP calculation (PBE) on a geometry-optimized ZrTiSe3 structure.

space group: No. 12
energy above the lowest structure with this stoichiometry: 0.0 meV per atom
ΔE_f (raw): -6.0 eV/f.u.
VASP energy: -6.580 eV per atom
crystal system: monoclinic

Geometry as extended XYZ:
```
10
Lattice="3.219 -5.612 0.000 3.219 5.612 0.000 -2.197 0.000 6.037" Properties=species:S:1:pos:R:3 pbc="T T T"
Zr 3.219 3.732 0.000
Zr 3.219 -3.732 0.000
Ti 2.121 1.914 3.018
Ti 2.121 -1.914 3.018
Se -0.032 1.770 4.444
Se 1.144 0.000 1.549
Se -0.032 -1.770 4.444
Se 4.273 1.770 1.592
Se 3.097 0.000 4.488
Se 4.273 -1.770 1.592
```

(2)
VASP calculation (PBE) on a geometry-optimized SrSeBr2O structure.

space group: No. 123
energy above the lowest structure with this stoichiometry: 0.0 meV per atom
ΔE_f (raw): -3.2 eV/f.u.
VASP energy: -3.334 eV per atom
crystal system: tetragonal

Geometry as extended XYZ:
```
5
Lattice="4.934 0.000 0.000 0.000 4.934 0.000 0.000 0.000 4.632" Properties=species:S:1:pos:R:3 pbc="T T T"
Sr 0.000 0.000 0.000
Se 2.467 2.467 0.000
Br 0.000 2.467 2.316
Br 2.467 0.000 2.316
O 2.467 2.467 2.316
```